## MnCuCl2 (PBE)

Data for an optimized crystal structure of MnCuCl2.

- VASP energy (eV/atom) = -4.058
- E_form (uncorrected) (eV per atom) = 0.182
- total magnetic moment (μB/f.u.) = 0.0
- SG = No. 166

a b c (Å): 7.769 7.769 7.769
angles (deg): 24.24 24.24 24.24
Element x y z (fractional)
1 Mn 0.000 0.000 0.000
2 Cu 0.500 0.500 0.500
3 Cl 0.393 0.393 0.393
4 Cl 0.607 0.607 0.607